First-principles (PBE-GGA) data for MoP3Au after structural relaxation, as listed in Alexandria.

Structure (extended XYZ):
```
5
Lattice="4.6773 0.0000 0.0000 0.0000 4.6773 0.0000 0.0000 0.0000 4.6773" Properties=species:S:1:pos:R:3 pbc="T T T"
P 0.0000 2.3386 0.0000
P 0.0000 0.0000 2.3386
P 2.3386 0.0000 0.0000
Mo 0.0000 0.0000 0.0000
Au 2.3386 2.3386 2.3386
```

Offset from the most stable computed form ... 0 meV/atom
Calculated total energy ... -5.445 eV per atom
Energy of formation ... 623 meV/atom
Calculated volume ... 20.5 Å³/atom

***

First-principles (PBE-GGA) data for YPd2O4 after structural relaxation, as listed in Alexandria.

Structure (extended XYZ):
```
14
Lattice="5.9704 0.0010 2.6880 2.9823 4.8930 1.3486 0.6447 -0.0057 6.5450" Properties=species:S:1:pos:R:3 pbc="T T T"
Y 6.2914 2.4446 5.9629
Y 3.6272 4.8871 7.8937
Pd 7.9443 3.6665 8.2723
Pd 3.1457 1.2221 2.9814
Pd 4.6368 3.6686 3.6557
Pd 3.4680 1.2195 6.2539
O 4.9221 1.6722 3.9181
O 1.3692 0.7720 2.0447
O 3.8533 3.2159 6.2930
O 1.6910 1.6692 5.3178
O 2.7580 3.2183 2.9460
O 6.0649 4.1159 7.5634
O 5.2449 0.7698 7.1900
O 6.5156 4.1191 4.3654
```

Offset from the most stable computed form ... 218 meV/atom
Calculated total energy ... -6.601 eV per atom
Uncorrected formation energy ... -1361 meV/atom
Calculated volume ... 13.1 Å³/atom

***

First-principles (PBE-GGA) data for In2CoAs after structural relaxation, as listed in Alexandria.

Structure (extended XYZ):
```
4
Lattice="-2.9399 -0.3821 0.5305 0.4505 -2.9551 0.3680 1.3065 1.2092 8.1109" Properties=species:S:1:pos:R:3 pbc="T T T"
As -0.9181 -1.3663 2.4770
Co -0.2649 -0.7617 6.5324
In 1.2428 1.1502 7.7156
In 0.7169 0.6635 4.4508
```

Calculated total energy ... -4.070 eV per atom
Energy of formation ... 238 meV/atom
Calculated volume ... 18.8 Å³/atom

***

First-principles (PBE-GGA) data for Pr2SmYS4 after structural relaxation, as listed in Alexandria.

Structure (extended XYZ):
```
8
Lattice="3.9851 0.0000 0.0000 0.0000 6.9625 0.1333 0.0000 -2.4154 6.6536" Properties=species:S:1:pos:R:3 pbc="T T T"
Pr 1.9925 -1.2077 3.3268
Pr 0.0000 2.2735 3.3934
Sm 1.9925 3.4812 0.0667
Y 0.0000 0.0000 0.0000
S 1.9925 1.1075 1.5939
S 1.9925 3.4395 5.1930
S 0.0000 -0.1002 5.1053
S 0.0000 4.6472 1.6816
```

Calculated total energy ... -6.673 eV per atom
Uncorrected formation energy ... -2016 meV/atom
Calculated volume ... 23.2 Å³/atom

***

First-principles (PBE-GGA) data for Er2ZnCu2Rh5 after structural relaxation, as listed in Alexandria.

Structure (extended XYZ):
```
20
Lattice="3.8114 0.0000 0.0000 0.0000 9.2040 0.0000 0.0000 0.0000 9.2040" Properties=species:S:1:pos:R:3 pbc="T T T"
Er 0.0000 6.2060 1.6040
Er 0.0000 2.9980 7.6000
Er 0.0000 1.6040 2.9980
Er 0.0000 7.6000 6.2060
Zn 0.0000 0.0000 0.0000
Zn 0.0000 4.6020 4.6020
Cu 0.0000 1.1389 5.7409
Cu 0.0000 8.0650 3.4630
Cu 0.0000 5.7409 8.0650
Cu 0.0000 3.4630 1.1389
Rh 1.9057 1.8551 0.6271
Rh 1.9057 7.3488 8.5769
Rh 1.9057 0.6271 7.3488
Rh 1.9057 6.4571 3.9749
Rh 1.9057 8.5769 1.8551
Rh 1.9057 2.7468 5.2291
Rh 1.9057 5.2291 6.4571
Rh 1.9057 3.9749 2.7468
Rh 1.9057 4.6020 0.0000
Rh 1.9057 0.0000 4.6020
```

Calculated total energy ... -5.986 eV per atom
Energy of formation ... -451 meV/atom
Calculated volume ... 16.1 Å³/atom

***

First-principles (PBE-GGA) data for Ca2UH8 after structural relaxation, as listed in Alexandria.

Structure (extended XYZ):
```
11
Lattice="-2.4061 -0.0290 2.5797 -2.6467 -4.1713 -2.5154 5.5852 -1.5361 2.7793" Properties=species:S:1:pos:R:3 pbc="T T T"
Ca -0.2314 -3.3838 -0.2540
Ca 0.7637 -2.3525 3.0976
U -1.2030 -0.0145 1.2899
H -2.2416 -4.2273 0.2737
H 1.4801 -3.5482 1.3402
H 0.8329 -0.9901 0.7656
H 2.4833 -2.6617 4.6978
H -0.3006 -4.7462 2.0781
H -0.9477 -2.1881 1.5034
H 2.7740 -1.5090 2.5699
H -1.9509 -3.0747 -1.8541
```

Calculated total energy ... -4.258 eV per atom
Calculated volume ... 9.8 Å³/atom

***

First-principles (PBE-GGA) data for Pd2SBr3 after structural relaxation, as listed in Alexandria.

Structure (extended XYZ):
```
12
Lattice="3.6310 0.0000 0.0000 1.8155 9.0720 -0.9732 1.8155 1.2717 9.2032" Properties=species:S:1:pos:R:3 pbc="T T T"
Pd 5.4464 4.9316 7.2129
Pd 1.8155 5.4121 1.0170
Pd 3.6309 3.3683 4.1529
Pd 3.6310 6.9754 4.0770
S 3.6310 5.2243 5.5976
S 3.6310 5.1194 2.6323
Br 1.8155 2.5254 6.4850
Br 5.4464 7.8183 1.7449
Br 5.4464 7.3010 8.3156
Br 1.8155 3.0427 -0.0857
Br 5.4464 8.5436 5.1778
Br 1.8155 1.8001 3.0521
```

Calculated total energy ... -3.395 eV per atom
Uncorrected formation energy ... -140 meV/atom
Calculated volume ... 25.6 Å³/atom

***

First-principles (PBE-GGA) data for Dy4HoCd after structural relaxation, as listed in Alexandria.

Structure (extended XYZ):
```
12
Lattice="6.2538 -0.6969 0.0000 -2.5229 8.5170 0.0000 -1.8654 -3.9100 7.0550" Properties=species:S:1:pos:R:3 pbc="T T T"
Dy -1.5655 -1.5991 5.3190
Dy 1.7665 3.1146 4.3612
Dy -1.5614 1.9476 5.3190
Dy -1.1626 5.0540 4.3612
Dy 3.0280 -1.1440 2.6938
Dy 3.4268 1.9624 1.7361
Dy 0.0989 0.7955 2.6938
Dy 3.4309 5.5092 1.7361
Ho 0.3020 4.0843 1.2575
Ho 1.5634 -0.1742 5.7975
Cd 1.5634 -0.1742 0.0072
Cd 0.3020 4.0843 7.0478
```

Offset from the most stable computed form ... 100 meV/atom
Calculated total energy ... -3.974 eV per atom
Energy of formation ... 10 meV/atom
Calculated volume ... 30.3 Å³/atom

***

First-principles (PBE-GGA) data for NdPa2As3 after structural relaxation, as listed in Alexandria.

Structure (extended XYZ):
```
24
Lattice="5.8601 -0.0091 0.0000 0.0134 8.2942 0.0000 0.0000 0.0000 12.4122" Properties=species:S:1:pos:R:3 pbc="T T T"
Nd 1.4751 7.2637 0.9827
Nd 1.4684 3.1166 5.2234
Nd 4.4050 5.1684 7.1888
Nd 4.3983 1.0213 11.4296
Pa 1.4800 7.2604 9.3460
Pa 1.4733 3.1133 9.2724
Pa 1.4751 7.2668 5.1624
Pa 1.4684 3.1198 1.0437
Pa 4.4050 5.1653 11.3686
Pa 4.3983 1.0182 7.2498
Pa 4.4001 5.1718 3.1399
Pa 4.3934 1.0247 3.0662
As 1.4752 5.2542 7.2871
As 1.4685 1.1071 11.3313
As 1.4750 5.1353 11.3395
As 1.4683 0.9883 7.2789
As 1.4699 5.1891 3.1134
As 1.4632 1.0421 3.0928
As 4.4102 7.2430 9.3195
As 4.4035 3.0959 9.2989
As 4.4051 7.2968 5.1334
As 4.3984 3.1497 1.0728
As 4.4049 7.1779 1.0810
As 4.3982 3.0308 5.1252
```

Calculated total energy ... -7.478 eV per atom
Energy of formation ... -1194 meV/atom
Calculated volume ... 25.1 Å³/atom

***

First-principles (PBE-GGA) data for Ti3Te12Au5 after structural relaxation, as listed in Alexandria.

Structure (extended XYZ):
```
80
Lattice="-10.5263 1.6330 -9.6185 2.0502 -13.9794 2.5214 -3.6271 6.5848 12.2258" Properties=species:S:1:pos:R:3 pbc="T T T"
Ti -7.5793 -3.1945 -4.7401
Ti -8.1262 -8.2326 -4.9969
Ti -4.6766 -5.7567 5.9253
Ti -3.7354 1.1301 2.4952
Ti -9.8610 1.3276 -5.0446
Ti -3.5727 -6.4786 1.0254
Ti -8.5304 0.7169 4.1033
Ti -2.2421 -7.0893 10.1733
Ti -8.3677 -6.8918 2.6335
Ti -7.4265 -0.0049 -0.7965
Ti -3.9769 2.4710 10.1256
Ti -4.5238 -2.5672 9.8688
Au -1.4537 -3.3920 2.7997
Au 1.0251 -6.9897 1.2607
Au 0.0000 0.0000 0.0000
Au -3.8882 -2.0594 -1.4484
Au -7.0767 4.1089 1.3036
Au -4.2380 -6.1732 -3.5485
Au -1.1382 -7.8111 5.2734
Au -10.8121 5.2390 3.7989
Au -7.9735 -5.0431 -1.0533
Au -6.4114 3.8035 5.8776
Au -5.6917 -9.5652 -0.7489
Au -6.0516 -2.8808 2.5644
Au -5.2632 0.8165 -4.8093
Au -1.8135 3.2924 6.1129
Au -4.1296 -0.7185 6.1820
Au -1.2910 -11.0007 1.3299
Au -0.7884 -3.6973 7.3736
Au -10.9649 2.0495 -0.1447
Au -8.2149 -3.7023 6.5771
Au -10.6494 -2.3697 2.3290
Te -7.5873 -0.3768 -5.9614
Te -3.8322 -4.4941 3.3546
Te -10.1740 -1.7205 -4.8398
Te -5.8956 -1.3683 -3.0831
Te -7.1480 -4.7962 4.3760
Te -9.3580 -5.4664 -5.5082
Te -3.3641 -7.5491 3.8050
Te 0.5002 -11.6805 3.2032
Te -6.6282 -7.8140 4.9903
Te -7.0794 -5.9224 -3.4213
Te -8.5250 -2.5576 -1.8887
Te -7.0444 -11.1065 -4.9604
Te -1.9867 -6.2882 7.3082
Te -3.2704 -4.6638 -1.3264
Te -0.3705 -10.3080 5.8702
Te -6.1474 2.5631 3.5172
Te -1.4185 -0.7486 2.3622
Te -3.5866 -8.1237 -1.5677
Te -7.8396 -9.5858 -2.3507
Te -0.9164 -4.9717 0.7031
Te -4.6678 -7.5147 8.3387
Te -6.3057 -5.2760 1.0309
Te -9.9837 -6.4165 0.0658
Te -10.7524 2.6638 4.5366
Te -5.7974 -0.4857 4.0978
Te -2.1194 0.6548 5.0629
Te -1.3507 -8.4254 0.5921
Te -4.2635 3.8242 7.4795
Te -7.4353 1.7530 -3.2100
Te -11.1867 -0.7900 4.4256
Te -8.5165 2.3621 6.6964
Te -5.9557 -8.3248 1.6115
Te -10.6846 -5.0130 2.7665
Te -11.7326 4.5463 -0.7415
Te -10.1164 0.5265 -2.1795
Te -5.0587 5.3448 10.0891
Te -8.8327 -1.0978 6.4551
Te -5.4749 2.0523 0.1384
Te -5.0237 0.1607 8.5500
Te -3.5781 -3.2040 7.0174
Te -12.6033 5.9188 1.9255
Te -8.7390 1.7874 1.3237
Te -6.2075 -4.3934 8.2118
Te -2.7451 -0.2952 10.6369
Te -4.9551 -0.9655 0.7527
Te -1.9291 -4.0412 9.9685
Te -8.2709 -1.2676 1.7741
Te -4.5159 -5.3848 11.0901
```

Calculated total energy ... -4.012 eV per atom
Uncorrected formation energy ... -123 meV/atom
Calculated volume ... 28.4 Å³/atom

***

First-principles (PBE-GGA) data for TbEr3 after structural relaxation, as listed in Alexandria.

Structure (extended XYZ):
```
4
Lattice="-3.4812 0.7881 0.4107 -1.5038 -5.8114 -1.5942 2.7749 0.9706 5.9428" Properties=species:S:1:pos:R:3 pbc="T T T"
Tb -1.5034 -5.8101 -1.5938
Er -0.3600 -2.7037 2.1369
Er -2.4937 -2.5163 -0.5930
Er -1.3479 0.5916 3.1548
```

Offset from the most stable computed form ... 1 meV/atom
Calculated total energy ... -4.577 eV per atom
Energy of formation ... 2 meV/atom
Calculated volume ... 31.1 Å³/atom

***

First-principles (PBE-GGA) data for La2Tm2Bi2C after structural relaxation, as listed in Alexandria.

Structure (extended XYZ):
```
7
Lattice="-2.6104 -3.4026 -2.2277 3.9294 -1.4272 -2.4245 1.1664 -3.0165 8.4826" Properties=species:S:1:pos:R:3 pbc="T T T"
La 0.5858 -1.7426 1.9752
La 1.8995 -6.1038 1.8552
Tm 1.9647 -0.7136 -1.2122
Tm -1.3052 -1.7013 -1.1139
Bi 1.3339 -3.9679 4.4976
Bi 1.1514 -3.8785 -0.6672
C 0.0000 0.0000 0.0000
```

Calculated total energy ... -5.886 eV per atom
Energy of formation ... -774 meV/atom
Calculated volume ... 28.1 Å³/atom

***

First-principles (PBE-GGA) data for Dy4Os6O19 after structural relaxation, as listed in Alexandria.

Structure (extended XYZ):
```
29
Lattice="-4.4065 -5.6516 3.0495 7.4505 -1.1889 1.9323 -2.3332 6.8934 2.7738" Properties=species:S:1:pos:R:3 pbc="T T T"
Dy -1.6474 4.8671 1.9585
Dy 5.2604 -0.8394 1.3643
Dy 0.2089 0.0156 2.2798
Dy -3.1112 -3.9903 2.1531
Os 0.1235 3.3010 4.4571
Os 0.5873 -3.2480 3.2985
Os 2.9808 1.9036 3.0439
Os -2.2700 -1.8507 4.7117
Os 3.3710 -1.3591 4.1913
Os -2.6602 1.4120 3.5643
O -4.6109 0.8496 3.9840
O -2.1288 0.3922 1.8394
O 0.9615 -2.1606 1.5735
O 2.0825 -4.6799 3.4082
O 3.5010 3.9027 3.2196
O 1.6164 1.8018 1.4865
O 0.0000 0.0000 0.0000
O -0.7886 1.9205 3.3672
O -3.0701 2.5329 5.1056
O 1.5926 -2.0768 4.5408
O 0.0407 -4.2685 4.8669
O 3.6878 -2.2707 2.4976
O -0.7911 -1.8729 3.3933
O 0.5135 4.1469 2.7447
O 1.6584 2.1004 4.5063
O -3.4324 -1.8189 3.1471
O 4.3494 1.8339 4.4303
O 2.4817 0.0196 3.0804
O -1.9770 0.0713 4.8533
```

Calculated total energy ... -8.004 eV per atom
Uncorrected formation energy ... -1798 meV/atom
Calculated volume ... 12.5 Å³/atom

***

First-principles (PBE-GGA) data for ZrCdHg2 after structural relaxation, as listed in Alexandria.

Structure (extended XYZ):
```
4
Lattice="5.0605 -0.0010 -0.0034 4.0371 3.0514 -0.0034 0.8940 0.2997 5.8180" Properties=species:S:1:pos:R:3 pbc="T T T"
Hg 0.9024 0.3026 5.7960
Hg 4.9873 1.6722 2.9277
Zr 7.4937 2.5126 4.3584
Cd 2.4979 0.8375 1.4528
```

Calculated total energy ... -2.544 eV per atom
Energy of formation ... -27 meV/atom
Calculated volume ... 22.5 Å³/atom

***

First-principles (PBE-GGA) data for AlWS2 after structural relaxation, as listed in Alexandria.

Structure (extended XYZ):
```
4
Lattice="1.8571 0.0000 7.5658 -0.9286 1.6083 7.5658 -0.9286 -1.6083 7.5658" Properties=species:S:1:pos:R:3 pbc="T T T"
S 0.0000 0.0000 20.3393
S 0.0000 0.0000 2.3582
Al 0.0000 0.0000 11.3487
W 0.0000 0.0000 0.0000
```

Calculated total energy ... -6.342 eV per atom
Uncorrected formation energy ... -104 meV/atom
Calculated volume ... 16.9 Å³/atom

***

First-principles (PBE-GGA) data for Pm3Sc3CuS8 after structural relaxation, as listed in Alexandria.

Structure (extended XYZ):
```
15
Lattice="7.6334 0.0000 0.0000 -3.8167 6.6104 -0.0230 0.0000 -4.3848 6.3157" Properties=species:S:1:pos:R:3 pbc="T T T"
Pm 0.0000 0.0000 0.0000
Pm -1.9084 3.3052 -0.0115
Pm 1.9084 3.3052 -0.0115
Sc 3.8167 -2.1924 3.1578
Sc 1.9084 1.1128 3.1463
Sc -1.9084 1.1128 3.1463
Cu 0.0000 -2.1924 3.1578
S 0.0000 2.2095 1.7245
S 3.8167 0.0160 4.5681
S 3.8168 2.1744 1.7111
S -0.0001 0.0511 4.5815
S 5.6933 -1.0774 1.7213
S -1.8766 3.3029 4.5713
S 1.9398 -1.0776 1.7218
S 1.8769 3.3031 4.5709
```

Calculated total energy ... -6.431 eV per atom
Uncorrected formation energy ... -1741 meV/atom
Calculated volume ... 21.2 Å³/atom

***

First-principles (PBE-GGA) data for Tb2Sb3Rh4 after structural relaxation, as listed in Alexandria.

Structure (extended XYZ):
```
18
Lattice="6.0825 0.0000 0.0000 0.0000 7.4089 0.0000 -3.0412 0.0000 7.9509" Properties=species:S:1:pos:R:3 pbc="T T T"
Tb 0.0000 4.3850 1.6023
Tb 3.0412 3.0239 6.3486
Tb 0.0000 0.6805 6.3486
Tb 3.0412 6.7283 1.6023
Sb 0.0000 0.0000 0.0000
Sb 3.0412 3.7044 0.0000
Sb 1.5206 5.5566 4.1653
Sb 4.5618 1.8522 3.7856
Sb 1.5206 1.8522 3.7856
Sb -1.5206 5.5566 4.1653
Rh 1.5206 5.5566 6.8675
Rh 4.5618 1.8522 1.0834
Rh 1.5206 1.8522 1.0834
Rh -1.5206 5.5566 6.8675
Rh 0.0000 7.2730 2.7073
Rh 3.0412 0.1359 5.2436
Rh 0.0000 3.5686 5.2436
Rh 3.0412 3.8403 2.7073
```

Calculated total energy ... -6.443 eV per atom
Uncorrected formation energy ... -773 meV/atom
Calculated volume ... 19.9 Å³/atom

***

First-principles (PBE-GGA) data for Tb6HoAl after structural relaxation, as listed in Alexandria.

Structure (extended XYZ):
```
8
Lattice="-0.2785 -4.8395 -0.4189 1.8819 0.2793 -4.4782 9.1615 -0.8559 3.7966" Properties=species:S:1:pos:R:3 pbc="T T T"
Tb 0.8017 -2.2801 -2.4485
Tb 5.3825 -2.7080 -0.5502
Tb 2.0533 -2.6246 0.6992
Tb 6.8297 -3.0708 2.6786
Tb 3.1335 -0.0652 -1.3305
Tb 7.9099 -0.5114 0.6489
Ho 4.5808 -0.4279 1.8983
Al 0.0000 0.0000 0.0000
```

Offset from the most stable computed form ... 0 meV/atom
Calculated total energy ... -4.580 eV per atom
Energy of formation ... -67 meV/atom
Calculated volume ... 29.5 Å³/atom